Record 1
Computed, not measured: an optimized crystal structure of RbRhO2 at the PBE level of DFT.

Cell: 3.4784 3.4784 6.6221 Å, 90.00 90.00 120.00°
Closest atoms and distances in Å follow each position.
Fractional positions:
Rh (0.3333, 0.6667, 0.4355)  1 O 1.86
O (0.3333, 0.6667, 0.7157)  1 Rh 1.86
O (0.6667, 0.3333, 0.3295)  3 Rh 2.13
Rb (0.0000, 0.0000, 0.9743)  3 O 2.64

Summary:
Formation energy (no corrections) (eV/atom): -0.4709
Crystal system: trigonal
Total energy (eV/atom): -5.0298

=====

Record 2
Computed, not measured: an optimized crystal structure of RbRuRhO6 at the PBE level of DFT.

Cell: 5.3218 5.3219 6.1564 Å, 90.00 90.00 60.00°
Closest atoms and distances in Å follow each position.
Fractional positions:
Rb (0.0000, 0.0000, 0.0000)  6 O 2.91
Ru (0.6666, 0.6667, 0.5000)  6 O 1.92
Rh (0.3333, 0.3333, 0.5000)  6 O 1.97
O (0.9922, 0.3966, 0.3296)  1 Ru 1.92, 1 Rh 1.97
O (0.3965, 0.9922, 0.6704)  1 Ru 1.92, 1 Rh 1.97
O (0.6112, 0.3966, 0.6704)  1 Ru 1.92, 1 Rh 1.97
O (0.9922, 0.6113, 0.6704)  1 Ru 1.92, 1 Rh 1.97
O (0.3965, 0.6113, 0.3296)  1 Ru 1.92, 1 Rh 1.97
O (0.6112, 0.9922, 0.3296)  1 Ru 1.92, 1 Rh 1.97

Summary:
Formation energy (no corrections) (eV/atom): -0.9185
Crystal system: trigonal
Total energy (eV/atom): -6.1789

=====

Record 3
Computed, not measured: an optimized crystal structure of RbRhS2O at the PBE level of DFT.

Cell: 5.7001 4.2493 5.7001 Å, 90.00 90.00 90.00°
Closest atoms and distances in Å follow each position.
Fractional positions:
S (0.0000, 0.0000, 0.5000)  2 Rb 2.85
S (0.5000, 0.0000, 0.0000)  2 Rb 2.85
Rh (0.5000, 0.5000, 0.5000)  8 S 3.55
O (0.0000, 0.5000, 0.0000)  2 Rb 2.12
Rb (0.0000, 0.0000, 0.0000)  2 O 2.12

Summary:
Formation energy (no corrections) (eV/atom): 1.6830
Crystal system: tetragonal
Total energy (eV/atom): -2.6234

=====

Record 4
Computed, not measured: an optimized crystal structure of RbSbRhO6 at the PBE level of DFT.

Cell: 5.3243 5.3242 6.4213 Å, 90.00 90.00 60.00°
Closest atoms and distances in Å follow each position.
Fractional positions:
Rb (0.0000, 0.0000, 0.0000)  6 O 2.93
Sb (0.6666, 0.6667, 0.5000)  6 O 2.03
Rh (0.3333, 0.3333, 0.5000)  6 O 1.97
O (0.0088, 0.3810, 0.3256)  1 Rh 1.97, 1 Sb 2.03
O (0.3810, 0.0089, 0.6744)  1 Rh 1.97, 1 Sb 2.03
O (0.6101, 0.3811, 0.6744)  1 Rh 1.97, 1 Sb 2.03
O (0.0088, 0.6101, 0.6744)  1 Rh 1.97, 1 Sb 2.03
O (0.3810, 0.6101, 0.3256)  1 Rh 1.97, 1 Sb 2.03
O (0.6101, 0.0088, 0.3256)  1 Rh 1.97, 1 Sb 2.03

Summary:
Formation energy (no corrections) (eV/atom): -1.0182
Crystal system: trigonal
Total energy (eV/atom): -5.7061

=====

Record 5
Computed, not measured: an optimized crystal structure of RbRh2SeO at the PBE level of DFT.

Cell: 5.1092 5.9088 5.1092 Å, 90.00 90.00 90.00°
Closest atoms and distances in Å follow each position.
Fractional positions:
O (0.5000, 0.5000, 0.5000)  4 Se 3.61, 8 Rh 3.91
Rh (0.0000, 0.0000, 0.5000)  2 Rb 2.55
Rh (0.5000, 0.0000, 0.0000)  2 Rb 2.55
Se (0.0000, 0.5000, 0.0000)  2 Rb 2.95
Rb (0.0000, 0.0000, 0.0000)  4 Rh 2.55

Summary:
Formation energy (no corrections) (eV/atom): 2.4955
Crystal system: tetragonal
Total energy (eV/atom): -2.3271

=====

Record 6
Computed, not measured: an optimized crystal structure of RbRhSe2O8 at the PBE level of DFT.

Cell: 5.0115 5.0115 9.3735 Å, 74.50 74.50 60.00°
Closest atoms and distances in Å follow each position.
Fractional positions:
Rb (0.5000, 0.5000, 0.5000)  6 O 3.08
Rh (0.0000, 0.0000, 0.0000)  6 O 2.04
Se (0.2684, 0.2684, 0.1949)  4 O 1.65-1.71
Se (0.7316, 0.7316, 0.8051)  4 O 1.65-1.71
O (0.2066, 0.2066, 0.3801)  1 Se 1.65
O (0.6214, 0.2710, 0.1386)  1 Se 1.71
O (0.7934, 0.7934, 0.6199)  1 Se 1.65
O (0.9691, 0.6214, 0.1386)  1 Se 1.71
O (0.0309, 0.3786, 0.8614)  1 Se 1.71
O (0.2710, 0.9691, 0.1386)  1 Se 1.71
O (0.7290, 0.0309, 0.8614)  1 Se 1.71
O (0.3786, 0.7290, 0.8614)  1 Se 1.71

Summary:
Formation energy (no corrections) (eV/atom): -0.8375
Crystal system: trigonal
Total energy (eV/atom): -5.4170

=====

Record 7
Computed, not measured: an optimized crystal structure of RbRhSe2O6 at the PBE level of DFT.

Cell: 5.2814 5.2814 7.6153 Å, 69.71 69.71 60.00°
Closest atoms and distances in Å follow each position.
Fractional positions:
Rb (0.0000, 0.0000, 0.0000)  6 O 3.02
Rh (0.5000, 0.5000, 0.5000)  6 O 2.06
Se (0.7487, 0.7487, 0.7539)  3 O 1.74
Se (0.2513, 0.2513, 0.2461)  3 O 1.74
O (0.1086, 0.4872, 0.6768)  1 Se 1.74
O (0.7275, 0.1086, 0.6768)  1 Se 1.74
O (0.5128, 0.2725, 0.3232)  1 Se 1.74
O (0.8914, 0.5128, 0.3232)  1 Se 1.74
O (0.2725, 0.8914, 0.3232)  1 Se 1.74
O (0.4872, 0.7275, 0.6768)  1 Se 1.74

Summary:
Formation energy (no corrections) (eV/atom): -0.8465
Crystal system: trigonal
Total energy (eV/atom): -5.3502

=====

Record 8
Computed, not measured: an optimized crystal structure of RbSiRhO6 at the PBE level of DFT.

Cell: 4.9725 4.9725 6.4479 Å, 90.00 90.00 60.00°
Closest atoms and distances in Å follow each position.
Fractional positions:
Rb (0.0000, 0.0000, 0.0000)  6 O 2.90
Si (0.3333, 0.3333, 0.5000)  6 O 1.79
Rh (0.6666, 0.6667, 0.5000)  6 O 1.93
O (0.0216, 0.3717, 0.3400)  1 Si 1.79, 1 Rh 1.93
O (0.3716, 0.0217, 0.6599)  1 Si 1.79, 1 Rh 1.93
O (0.6066, 0.3717, 0.6600)  1 Si 1.79, 1 Rh 1.93
O (0.0216, 0.6067, 0.6600)  1 Si 1.79, 1 Rh 1.93
O (0.3716, 0.6067, 0.3400)  1 Si 1.79, 1 Rh 1.93
O (0.6067, 0.0217, 0.3400)  1 Si 1.79, 1 Rh 1.93

Summary:
Formation energy (no corrections) (eV/atom): -1.2661
Crystal system: trigonal
Total energy (eV/atom): -6.0985

=====

Record 9
Computed, not measured: an optimized crystal structure of Rb3Sm3RhO8 at the PBE level of DFT.

Cell: 6.9666 6.9673 7.7317 Å, 116.79 89.99 120.00°
Closest atoms and distances in Å follow each position.
Fractional positions:
Rb (0.0000, 0.0000, 0.0000)  6 O 2.92-2.93
Rb (0.0000, 0.5000, 0.0000)  6 O 2.92-2.93
Rb (0.5000, 0.5000, 0.0000)  6 O 2.92-2.93
Sm (0.5000, 0.0000, 0.5000)  6 O 2.33-2.38
Sm (0.5000, 0.5000, 0.5000)  6 O 2.33-2.38
Sm (0.0000, 0.5000, 0.5000)  6 O 2.33-2.38
Rh (0.0000, 0.0000, 0.5000)  6 O 2.13
O (0.2742, 0.5483, 0.3225)  3 Sm 2.33
O (0.7258, 0.4517, 0.6775)  3 Sm 2.33
O (0.7936, 0.5873, 0.3338)  1 Rh 2.13, 2 Sm 2.38
O (0.2064, 0.4127, 0.6662)  1 Rh 2.13, 2 Sm 2.38
O (0.7937, 0.0401, 0.3338)  1 Rh 2.13, 2 Sm 2.38
O (0.2063, 0.9599, 0.6662)  1 Rh 2.13, 2 Sm 2.38
O (0.2464, 0.0401, 0.3338)  1 Rh 2.13, 2 Sm 2.38
O (0.7536, 0.9599, 0.6662)  1 Rh 2.13, 2 Sm 2.38

Summary:
Formation energy (no corrections) (eV/atom): -2.2009
Crystal system: trigonal
Total energy (eV/atom): -6.4727

=====

Record 10
Computed, not measured: an optimized crystal structure of Rb3Sm2RhO6 at the PBE level of DFT.

Cell: 6.0074 6.0074 6.8182 Å, 98.40 98.40 119.96°
Closest atoms and distances in Å follow each position.
Fractional positions:
Rb (0.1620, 0.8380, 0.5000)  6 O 2.83-3.02
Rb (0.8380, 0.1620, 0.5000)  6 O 2.83-3.02
Rb (0.5000, 0.5000, 0.5000)  6 O 2.86-2.98
Sm (0.3330, 0.6670, 0.0000)  6 O 2.37
Sm (0.6670, 0.3330, 0.0000)  6 O 2.37
Rh (0.0000, 0.0000, 0.0000)  6 O 2.21
O (0.9407, 0.6276, 0.8219)  1 Rh 2.21, 2 Sm 2.37
O (0.7457, 0.7457, 0.1781)  1 Rh 2.21, 2 Sm 2.37
O (0.0593, 0.3724, 0.1781)  1 Rh 2.21, 2 Sm 2.37
O (0.6276, 0.9407, 0.8219)  1 Rh 2.21, 2 Sm 2.37
O (0.2543, 0.2543, 0.8219)  1 Rh 2.21, 2 Sm 2.37
O (0.3724, 0.0593, 0.1781)  1 Rh 2.21, 2 Sm 2.37

Summary:
Formation energy (no corrections) (eV/atom): -1.9770
Crystal system: monoclinic
Total energy (eV/atom): -6.0972